Record 1
Compound: Cs2LiAlF6
Source: Alexandria via LeMat-Bulk
Functional: GGA-PBEsol
Structure: relaxed

abc: 4.979 6.139 6.139
angles: 120.01 90.00 90.00
Fractional positions:
Cs 0.731 0.333 0.667
Cs 0.269 0.667 0.333
Li 0.500 0.000 0.000
Al 0.000 0.000 0.000
F 0.222 0.136 0.273
F 0.222 0.727 0.864
F 0.222 0.136 0.864
F 0.778 0.273 0.136
F 0.778 0.864 0.136
F 0.778 0.864 0.727

## Properties
M_tot ... 0.14 μB per formula unit
Formation energy from raw total energies ... -32.239 eV/f.u.



Record 2
Compound: Cs2NaAlF6
Source: Alexandria via LeMat-Bulk
Functional: GGA-PBEsol
Structure: relaxed

abc: 6.133 6.133 10.532
angles: 73.07 73.07 60.00
Fractional positions:
Cs 0.781 0.781 0.658
Cs 0.219 0.219 0.342
Cs 0.372 0.372 0.883
Cs 0.628 0.628 0.117
Na 0.098 0.098 0.706
Na 0.902 0.902 0.294
Al 0.000 0.000 0.000
Al 0.500 0.500 0.500
F 0.677 0.251 0.394
F 0.749 0.323 0.606
F 0.323 0.323 0.606
F 0.677 0.677 0.394
F 0.898 0.313 0.890
F 0.313 0.898 0.890
F 0.898 0.898 0.890
F 0.251 0.677 0.394
F 0.102 0.687 0.110
F 0.687 0.102 0.110
F 0.102 0.102 0.110
F 0.323 0.749 0.606

## Properties
M_tot ... 0.17 μB per formula unit
Formation energy from raw total energies ... -31.959 eV/f.u.



| no. | calculated total energy (eV per cell) |
| --- | --- |
| 1 | -51.7 |
| 2 | -101.8 |